1.
Entry from OQMD: a relaxed BeAlNiB crystal (PBE).

**Excess energy over the best structure of this formula in the dataset**: 59 meV per atom
**ρ**: 4.525 g/cm3
**M_tot**: 0.00 μB per cell
**VASP energy**: -4.73 eV/atom

Cell lengths 3.797, 3.797, 3.797 Å; angles 60.00, 60.00, 60.00 degrees
Fractional positions:
Be1 0.000 0.000 0.000
Al1 0.500 0.500 0.500
Ni1 0.250 0.250 0.250
B1 0.750 0.750 0.750


2.
Entry from OQMD: a relaxed BeAgSO crystal (PBE).

**Excess energy over the best structure of this formula in the dataset**: 230 meV per atom
**ρ**: 4.518 g/cm3
**VASP energy**: -4.86 eV/atom

Cell lengths 4.962, 6.505, 7.512 Å; angles 90.00, 90.00, 90.00 degrees
Fractional positions:
Be1 0.192 0.162 0.035
Be2 0.308 0.838 0.535
Be3 0.692 0.338 0.965
Be4 0.808 0.662 0.465
Ag1 0.213 0.435 0.651
Ag2 0.287 0.565 0.151
Ag3 0.713 0.065 0.349
Ag4 0.787 0.935 0.849
S1 0.025 0.886 0.134
S2 0.475 0.114 0.634
S3 0.525 0.614 0.866
S4 0.975 0.386 0.366
O1 0.029 0.760 0.581
O2 0.471 0.240 0.081
O3 0.529 0.740 0.419
O4 0.971 0.260 0.919


3.
Entry from OQMD: a relaxed LiUCuTe3 crystal (PBE).

**ρ**: 7.082 g/cm3
**M_tot**: 3.99 μB per cell
**VASP energy**: -4.98 eV/atom

Cell lengths 7.344, 7.344, 11.109 Å; angles 90.00, 90.00, 147.24 degrees
Fractional positions:
Li1 0.222 0.778 0.750
Li2 0.778 0.222 0.250
U1 0.000 0.000 0.000
U2 0.000 0.000 0.500
Cu1 0.478 0.522 0.250
Cu2 0.522 0.478 0.750
Te1 0.093 0.907 0.250
Te2 0.354 0.646 0.075
Te3 0.354 0.646 0.425
Te4 0.646 0.354 0.575
Te5 0.646 0.354 0.925
Te6 0.907 0.093 0.750


4.
Entry from OQMD: a relaxed AuSeS crystal (PBE).

**ρ**: 8.046 g/cm3
**VASP energy**: -3.23 eV/atom

Cell lengths 4.050, 4.050, 13.422 Å; angles 90.00, 90.00, 120.00 degrees
Fractional positions:
Au1 0.000 0.000 0.000
Au2 0.667 0.333 0.387
Au3 0.667 0.333 0.613
Se1 0.333 0.667 0.196
Se2 0.333 0.667 0.500
Se3 0.333 0.667 0.804
S1 0.000 0.000 0.282
S2 0.000 0.000 0.718
S3 0.667 0.333 0.000


5.
Entry from OQMD: a relaxed SrLuBi2 crystal (PBE).

**ρ**: 8.885 g/cm3
**M_tot**: 0.01 μB per cell
**VASP energy**: -3.69 eV/atom

Cell lengths 5.645, 5.645, 5.645 Å; angles 60.00, 60.00, 60.00 degrees
Fractional positions:
Sr1 0.000 0.000 0.000
Lu1 0.250 0.250 0.250
Bi1 0.500 0.500 0.500
Bi2 0.750 0.750 0.750


6.
Entry from OQMD: a relaxed ScTlCoPd crystal (PBE).

**Excess energy over the best structure of this formula in the dataset**: 0 meV per atom
**ρ**: 10.138 g/cm3
**M_tot**: 1.01 μB per cell
**VASP energy**: -5.53 eV/atom

Cell lengths 4.580, 4.580, 4.580 Å; angles 60.00, 60.00, 60.00 degrees
Fractional positions:
Sc1 0.000 0.000 0.000
Tl1 0.500 0.500 0.500
Co1 0.750 0.750 0.750
Pd1 0.250 0.250 0.250


7.
Entry from OQMD: a relaxed Tm3P2Se crystal (PBE).

**Excess energy over the best structure of this formula in the dataset**: 0 meV per atom
**ρ**: 8.085 g/cm3
**M_tot**: 0.00 μB per cell
**VASP energy**: -6.34 eV/atom

Cell lengths 3.961, 3.961, 9.789 Å; angles 90.00, 90.00, 120.00 degrees
Fractional positions:
Tm1 0.000 0.000 0.000
Tm2 0.333 0.667 0.313
Tm3 0.667 0.333 0.687
P1 0.333 0.667 0.836
P2 0.667 0.333 0.164
Se1 0.000 0.000 0.500


8.
Entry from OQMD: a relaxed CoSi2Tc2 crystal (PBE).

**ρ**: 8.075 g/cm3
**M_tot**: 0.00 μB per cell
**VASP energy**: -8.10 eV/atom

Cell lengths 5.820, 5.820, 3.778 Å; angles 90.00, 90.00, 90.00 degrees
Fractional positions:
Co1 0.000 0.000 0.000
Co2 0.500 0.500 0.000
Si1 0.142 0.358 0.000
Si2 0.358 0.858 0.000
Si3 0.642 0.142 0.000
Si4 0.858 0.642 0.000
Tc1 0.174 0.674 0.500
Tc2 0.326 0.174 0.500
Tc3 0.674 0.826 0.500
Tc4 0.826 0.326 0.500


9.
Entry from OQMD: a relaxed NbMo2Pb crystal (PBE).

**ρ**: 11.251 g/cm3
**M_tot**: 0.01 μB per cell
**VASP energy**: -8.35 eV/atom

Cell lengths 4.683, 4.683, 4.683 Å; angles 60.00, 60.00, 60.00 degrees
Fractional positions:
Nb1 0.000 0.000 0.000
Mo1 0.250 0.250 0.250
Mo2 0.500 0.500 0.500
Pb1 0.750 0.750 0.750


10.
Entry from OQMD: a relaxed Pr2NdSn3IrPd2 crystal (PBE).

**ρ**: 9.392 g/cm3
**M_tot**: 0.00 μB per cell
**VASP energy**: -5.94 eV/atom

Cell lengths 4.152, 7.643, 7.643 Å; angles 120.07, 90.00, 90.00 degrees
Fractional positions:
Pr1 0.000 0.205 0.795
Pr2 0.000 0.795 0.205
Nd1 0.000 0.613 0.613
Sn1 0.500 0.205 0.453
Sn2 0.500 0.453 0.205
Sn3 0.500 0.956 0.956
Ir1 0.000 0.206 0.206
Pd1 0.500 0.539 0.870
Pd2 0.500 0.870 0.539


11.
Entry from OQMD: a relaxed NdBNO crystal (PBE).

**Excess energy over the best structure of this formula in the dataset**: 75 meV per atom
**ρ**: 6.675 g/cm3
**M_tot**: 0.01 μB per cell
**VASP energy**: -7.67 eV/atom

Cell lengths 2.843, 5.996, 5.401 Å; angles 90.00, 90.00, 90.00 degrees
Fractional positions:
Nd1 0.000 0.246 0.000
Nd2 0.000 0.754 0.500
B1 0.500 0.258 0.474
B2 0.500 0.742 0.974
N1 0.000 0.343 0.543
N2 0.000 0.657 0.043
O1 0.500 0.064 0.319
O2 0.500 0.936 0.819


12.
Entry from OQMD: a relaxed SrSmW crystal (PBE).

**Excess energy over the best structure of this formula in the dataset**: 0 meV per atom
**ρ**: 7.074 g/cm3
**M_tot**: 2.38 μB per cell
**VASP energy**: -5.13 eV/atom

Cell lengths 5.193, 5.193, 5.193 Å; angles 60.00, 60.00, 60.00 degrees
Fractional positions:
Sr1 0.000 0.000 0.000
Sm1 0.500 0.500 0.500
W1 0.750 0.750 0.750


13.
Entry from OQMD: a relaxed Gd2Tc2S2O5 crystal (PBE).

**ρ**: 6.432 g/cm3
**M_tot**: 0.03 μB per cell
**VASP energy**: -7.65 eV/atom

Cell lengths 11.157, 11.157, 11.157 Å; angles 159.58, 159.58, 29.04 degrees
Fractional positions:
Gd1 0.163 0.163 0.000
Gd2 0.837 0.837 0.000
Tc1 0.416 0.416 0.000
Tc2 0.584 0.584 0.000
S1 0.297 0.297 0.000
S2 0.703 0.703 0.000
O1 0.099 0.599 0.500
O2 0.401 0.901 0.500
O3 0.500 0.500 0.000
O4 0.599 0.099 0.500
O5 0.901 0.401 0.500


14.
Entry from OQMD: a relaxed Gd2Dy2CCl5 crystal (PBE).

**ρ**: 5.609 g/cm3
**M_tot**: 0.00 μB per cell
**VASP energy**: -5.40 eV/atom

Cell lengths 8.739, 8.739, 7.853 Å; angles 102.72, 102.72, 24.83 degrees
Fractional positions:
Gd1 0.002 0.002 0.288
Gd2 0.998 0.998 0.712
Dy1 0.357 0.357 0.421
Dy2 0.643 0.643 0.579
C1 0.500 0.500 0.500
Cl1 0.164 0.164 0.834
Cl2 0.173 0.173 0.344
Cl3 0.500 0.500 0.000
Cl4 0.827 0.827 0.656
Cl5 0.836 0.836 0.166


15.
Entry from OQMD: a relaxed TmTaPb crystal (PBE).

**Excess energy over the best structure of this formula in the dataset**: 401 meV per atom
**ρ**: 10.543 g/cm3
**M_tot**: 2.92 μB per cell
**VASP energy**: -5.61 eV/atom

Cell lengths 4.988, 4.988, 4.988 Å; angles 60.00, 60.00, 60.00 degrees
Fractional positions:
Tm1 0.000 0.000 0.000
Ta1 0.250 0.250 0.250
Pb1 0.750 0.750 0.750


16.
Entry from OQMD: a relaxed FeSnOs2 crystal (PBE).

**ρ**: 15.157 g/cm3
**M_tot**: 2.73 μB per cell
**VASP energy**: -8.17 eV/atom

Cell lengths 4.414, 4.414, 4.414 Å; angles 60.00, 60.00, 60.00 degrees
Fractional positions:
Fe1 0.000 0.000 0.000
Sn1 0.750 0.750 0.750
Os1 0.250 0.250 0.250
Os2 0.500 0.500 0.500


17.
Entry from OQMD: a relaxed Rb2In4CuAg crystal (PBE).

**ρ**: 5.341 g/cm3
**VASP energy**: -2.48 eV/atom

Cell lengths 8.223, 6.894, 6.894 Å; angles 39.62, 90.00, 90.00 degrees
Fractional positions:
Rb1 0.000 0.000 0.000
Rb2 0.500 0.075 0.075
In1 0.180 0.716 0.716
In2 0.300 0.356 0.356
In3 0.700 0.356 0.356
In4 0.820 0.716 0.716
Cu1 0.000 0.265 0.265
Ag1 0.500 0.805 0.805


18.
Entry from OQMD: a relaxed AcTlCd crystal (PBE).

**Excess energy over the best structure of this formula in the dataset**: 0 meV per atom
**ρ**: 9.755 g/cm3
**M_tot**: 0.12 μB per cell
**VASP energy**: -2.81 eV/atom

Cell lengths 6.510, 6.510, 8.145 Å; angles 128.43, 128.43, 46.80 degrees
Fractional positions:
Ac1 0.031 0.031 0.281
Ac2 0.969 0.969 0.719
Tl1 0.332 0.332 0.281
Tl2 0.668 0.668 0.719
Cd1 0.340 0.340 0.883
Cd2 0.660 0.660 0.117


19.
Entry from OQMD: a relaxed GePdSO crystal (PBE).

**Excess energy over the best structure of this formula in the dataset**: 302 meV per atom
**ρ**: 5.016 g/cm3
**VASP energy**: -5.01 eV/atom

Cell lengths 4.411, 4.411, 7.730 Å; angles 90.00, 90.00, 90.00 degrees
Fractional positions:
Ge1 0.250 0.250 0.139
Ge2 0.750 0.750 0.861
Pd1 0.250 0.250 0.614
Pd2 0.750 0.750 0.386
S1 0.250 0.750 0.500
S2 0.750 0.250 0.500
O1 0.250 0.250 0.919
O2 0.750 0.750 0.081


20.
Entry from OQMD: a relaxed Pr2B2O5 crystal (PBE).

**Excess energy over the best structure of this formula in the dataset**: 0 meV per atom
**ρ**: 6.808 g/cm3
**M_tot**: 0.00 μB per cell
**VASP energy**: -7.18 eV/atom

Cell lengths 3.660, 3.660, 6.981 Å; angles 90.00, 90.00, 90.00 degrees
Fractional positions:
Pr1 0.000 0.000 0.000
Pr2 0.000 0.000 0.500
B1 0.500 0.500 0.220
B2 0.500 0.500 0.780
O1 0.000 0.500 0.249
O2 0.000 0.500 0.751
O3 0.500 0.000 0.249
O4 0.500 0.000 0.751
O5 0.500 0.500 0.000